a:
Nd6AgRh2 after structural relaxation. Source: the Alexandria database, functional PBE.

Geometry as POSCAR:
```
Nd6AgRh2
1.0
-0.481 2.903 -4.330
-4.644 -0.396 3.415
1.313 7.629 4.969
Nd Rh Ag
6 2 1
Direct
0.288 0.577 0.834 Nd
0.961 0.921 0.840 Nd
0.039 0.079 0.160 Nd
0.655 0.309 0.604 Nd
0.345 0.691 0.396 Nd
0.712 0.423 0.166 Nd
0.620 0.239 0.897 Rh
0.380 0.761 0.103 Rh
0.000 0.000 0.500 Ag
```

## Properties
Fermi-level density of states (states/eV per cell): 8.0
Theoretical density (g/cm3): 8.005
Space group: C2/m (12)

=====

b:
Nd6AgRh2 after structural relaxation. Source: the Alexandria database, functional PBE.

Geometry as POSCAR:
```
Nd6AgRh2
1.0
8.212 -0.164 -2.948
-4.458 7.122 -2.358
-0.046 0.164 8.726
Nd Ag Rh
12 2 4
Direct
0.112 0.290 0.822 Nd
0.197 0.770 0.968 Nd
0.803 0.770 0.573 Nd
0.468 0.290 0.178 Nd
0.694 0.365 0.671 Nd
0.306 0.976 0.671 Nd
0.197 0.230 0.427 Nd
0.306 0.635 0.329 Nd
0.888 0.710 0.178 Nd
0.803 0.230 0.032 Nd
0.532 0.710 0.822 Nd
0.694 0.024 0.329 Nd
0.000 0.500 0.500 Ag
0.000 0.000 0.000 Ag
0.662 0.000 0.662 Rh
0.500 0.367 0.867 Rh
0.338 0.000 0.338 Rh
0.500 0.633 0.133 Rh
```

## Properties
Fermi-level density of states (states/eV per cell): 17.4
Theoretical density (g/cm3): 7.704
Space group: Immm (71)

=====

Bottom line: b, by a margin of 74 meV per atom.

=====

a:
Nd4Ag2Ru after structural relaxation. Source: the Alexandria database, functional PBE.

Geometry as POSCAR:
```
Nd4Ag2Ru
1.0
5.955 0.000 -0.634
0.000 6.541 0.000
-2.813 0.000 10.284
Nd Ru Ag
8 2 4
Direct
0.858 0.250 0.573 Nd
0.064 0.750 0.904 Nd
0.471 0.495 0.745 Nd
0.142 0.750 0.427 Nd
0.936 0.250 0.096 Nd
0.471 0.005 0.745 Nd
0.529 0.995 0.255 Nd
0.529 0.505 0.255 Nd
0.126 0.750 0.177 Ru
0.874 0.250 0.823 Ru
0.267 0.250 0.436 Ag
0.639 0.750 0.020 Ag
0.733 0.750 0.564 Ag
0.361 0.250 0.980 Ag
```

## Properties
Fermi-level density of states (states/eV per cell): 9.0
Theoretical density (g/cm3): 7.632
Space group: P2_1/m (11)

=====

b:
Nd4Ag2Ru after structural relaxation. Source: the Alexandria database, functional PBE.

Geometry as POSCAR:
```
Nd4Ag2Ru
1.0
4.954 0.000 1.548
2.235 4.421 1.548
-0.073 -0.045 8.936
Ag Ru Nd
2 1 4
Direct
0.246 0.246 0.263 Ag
0.754 0.754 0.737 Ag
0.000 0.000 0.000 Ru
0.370 0.370 0.889 Nd
0.630 0.630 0.111 Nd
0.119 0.119 0.644 Nd
0.881 0.881 0.356 Nd
```

## Properties
Fermi-level density of states (states/eV per cell): 7.5
Theoretical density (g/cm3): 7.557
Space group: R-3m (166)

=====

Bottom line: a, by a margin of 7 meV per atom.

=====

a:
Nd4AgRu after structural relaxation. Source: the Alexandria database, functional PBE.

Geometry as POSCAR:
```
Nd4AgRu
1.0
-2.935 -0.735 5.658
-0.770 -7.166 -5.908
7.234 1.350 2.579
Ag Nd Ru
2 8 2
Direct
0.377 0.627 0.253 Ag
0.623 0.373 0.747 Ag
0.763 0.724 0.660 Nd
0.125 0.214 0.838 Nd
0.875 0.786 0.162 Nd
0.213 0.624 0.838 Nd
0.397 0.935 0.660 Nd
0.603 0.065 0.340 Nd
0.787 0.376 0.162 Nd
0.237 0.276 0.340 Nd
0.249 0.999 0.998 Ru
0.751 0.001 0.002 Ru
```

## Properties
Fermi-level density of states (states/eV per cell): 13.4
Theoretical density (g/cm3): 7.495
Space group: C2/c (15)

=====

b:
Nd4AgRu after structural relaxation. Source: the Alexandria database, functional PBE.

Geometry as POSCAR:
```
Nd4AgRu
1.0
8.529 0.000 4.924
2.843 8.042 4.924
0.000 0.000 9.849
Ru Nd Ag
4 16 4
Direct
0.612 0.612 0.165 Ru
0.612 0.612 0.612 Ru
0.612 0.165 0.612 Ru
0.165 0.612 0.612 Ru
0.402 0.793 0.402 Nd
0.941 0.941 0.559 Nd
0.402 0.402 0.402 Nd
0.559 0.941 0.941 Nd
0.941 0.559 0.941 Nd
0.941 0.559 0.559 Nd
0.559 0.559 0.941 Nd
0.811 0.189 0.189 Nd
0.189 0.189 0.811 Nd
0.189 0.811 0.189 Nd
0.811 0.811 0.189 Nd
0.559 0.941 0.559 Nd
0.793 0.402 0.402 Nd
0.811 0.189 0.811 Nd
0.189 0.811 0.811 Nd
0.402 0.402 0.793 Nd
0.169 0.169 0.492 Ag
0.169 0.492 0.169 Ag
0.492 0.169 0.169 Ag
0.169 0.169 0.169 Ag
```

## Properties
Fermi-level density of states (states/eV per cell): 24.5
Theoretical density (g/cm3): 7.727
Space group: F-43m (216)

=====

Bottom line: b, by a margin of 22 meV per atom.

=====

a:
NdYAgRu after structural relaxation. Source: the Alexandria database, functional PBE.

Geometry as POSCAR:
```
NdYAgRu
1.0
5.051 0.000 0.000
2.526 4.375 0.000
2.526 1.458 4.125
Ru Y Nd Ag
1 1 1 1
Direct
0.750 0.750 0.750 Ru
0.500 0.500 0.500 Y
0.000 0.000 0.000 Nd
0.250 0.250 0.250 Ag
```

## Properties
Fermi-level density of states (states/eV per cell): 3.2
Theoretical density (g/cm3): 8.054
Space group: F-43m (216)

=====

b:
NdYAgRu after structural relaxation. Source: the Alexandria database, functional PBE.

Geometry as POSCAR:
```
NdYAgRu
1.0
-1.172 -3.250 0.422
2.447 -0.570 2.409
-4.784 2.430 5.433
Y Nd Ag Ru
1 1 1 1
Direct
0.500 0.500 0.346 Y
0.500 0.500 0.793 Nd
0.000 0.000 0.085 Ag
0.000 0.000 0.561 Ru
```

## Properties
Fermi-level density of states (states/eV per cell): 2.5
Theoretical density (g/cm3): 7.936
Space group: P4mm (99)

=====

Bottom line: b, by a margin of 61 meV per atom.

=====

a:
TbNdScAg after structural relaxation. Source: the Alexandria database, functional PBE.

Geometry as POSCAR:
```
TbNdScAg
1.0
-1.718 1.962 -4.659
-5.049 -0.809 -1.539
-3.455 4.071 -0.071
Sc Ag Tb Nd
1 1 1 1
Direct
0.750 0.750 0.750 Sc
0.250 0.250 0.250 Ag
0.000 0.000 0.000 Tb
0.500 0.500 0.500 Nd
```

## Properties
Fermi-level density of states (states/eV per cell): 4.3
Theoretical density (g/cm3): 7.033
Space group: F-43m (216)

=====

b:
TbNdScAg after structural relaxation. Source: the Alexandria database, functional PBE.

Geometry as POSCAR:
```
TbNdScAg
1.0
3.569 0.000 0.000
0.000 3.569 0.000
0.000 0.000 8.469
Sc Ag Nd Tb
1 1 1 1
Direct
0.500 0.500 0.368 Sc
0.000 0.000 0.550 Ag
0.000 0.000 0.087 Nd
0.500 0.500 0.779 Tb
```

## Properties
Fermi-level density of states (states/eV per cell): 6.1
Theoretical density (g/cm3): 7.021
Space group: P4mm (99)

=====

Bottom line: b, by a margin of 141 meV per atom.

=====

a:
NdScZnAg after structural relaxation. Source: the Alexandria database, functional PBE.

Geometry as POSCAR:
```
NdScZnAg
1.0
-1.463 -1.844 2.612
-1.331 -2.260 -2.341
6.008 -4.056 0.501
Ag Zn Nd Sc
1 1 1 1
Direct
0.500 0.500 0.147 Ag
0.500 0.500 0.570 Zn
0.000 0.000 0.847 Nd
0.000 0.000 0.365 Sc
```

## Properties
Fermi-level density of states (states/eV per cell): 4.1
Theoretical density (g/cm3): 6.702
Space group: P4mm (99)

=====

b:
NdScZnAg after structural relaxation. Source: the Alexandria database, functional PBE.

Geometry as POSCAR:
```
NdScZnAg
1.0
5.058 0.000 0.000
2.529 4.380 0.000
2.529 1.460 4.130
Ag Nd Sc Zn
1 1 1 1
Direct
0.250 0.250 0.250 Ag
0.500 0.500 0.500 Nd
0.000 0.000 0.000 Sc
0.750 0.750 0.750 Zn
```

## Properties
Fermi-level density of states (states/eV per cell): 3.7
Theoretical density (g/cm3): 6.580
Space group: F-43m (216)

=====

Bottom line: a, by a margin of 33 meV per atom.

=====

a:
Nd2SmAg after structural relaxation. Source: the Alexandria database, functional PBE.

Geometry as POSCAR:
```
Nd2SmAg
1.0
-1.274 -0.738 3.410
-2.579 -2.245 -1.450
5.633 -6.870 0.619
Nd Ag Sm
2 1 1
Direct
0.000 0.000 0.784 Nd
0.000 0.000 0.216 Nd
0.500 0.500 0.000 Ag
0.500 0.500 0.500 Sm
```

## Properties
Fermi-level density of states (states/eV per cell): 6.4
Theoretical density (g/cm3): 7.390
Space group: P4/mmm (123)

=====

b:
Nd2SmAg after structural relaxation. Source: the Alexandria database, functional PBE.

Geometry as POSCAR:
```
Nd2SmAg
1.0
3.710 0.000 0.000
0.000 5.662 0.000
0.000 0.000 5.662
Nd Ag Sm
2 1 1
Direct
0.000 0.000 0.500 Nd
0.000 0.500 0.000 Nd
0.500 0.000 0.000 Ag
0.500 0.500 0.500 Sm
```

## Properties
Fermi-level density of states (states/eV per cell): 4.8
Theoretical density (g/cm3): 7.633
Space group: P4/mmm (123)

=====

c:
Nd2SmAg after structural relaxation. Source: the Alexandria database, functional PBE.

Geometry as POSCAR:
```
Nd2SmAg
1.0
5.526 0.000 0.000
2.763 4.786 0.000
2.763 1.595 4.512
Nd Sm Ag
2 1 1
Direct
0.250 0.250 0.250 Nd
0.750 0.750 0.750 Nd
0.000 0.000 0.000 Sm
0.500 0.500 0.500 Ag
```

## Properties
Fermi-level density of states (states/eV per cell): 6.0
Theoretical density (g/cm3): 7.609
Space group: Fm-3m (225)

=====

d:
Nd2SmAg after structural relaxation. Source: the Alexandria database, functional PBE.

Geometry as POSCAR:
```
Nd2SmAg
1.0
3.689 0.000 0.000
1.845 3.195 0.000
1.845 1.065 10.699
Ag Nd Sm
1 2 1
Direct
0.667 0.667 0.999 Ag
0.259 0.259 0.223 Nd
0.074 0.074 0.777 Nd
0.500 0.500 0.501 Sm
```

## Properties
Fermi-level density of states (states/eV per cell): 5.1
Theoretical density (g/cm3): 7.198
Space group: R3m (160)

=====

Bottom line: a, by a margin of 93 meV per atom.

=====

a:
Nd2SmAg after structural relaxation. Source: the Alexandria database, functional PBE.

Geometry as POSCAR:
```
Nd2SmAg
1.0
-4.703 -1.818 -4.336
-4.513 -1.097 5.355
-3.249 10.032 -0.682
Sm Ag Nd
4 4 8
Direct
0.372 0.490 0.750 Sm
0.872 0.010 0.250 Sm
0.128 0.990 0.750 Sm
0.628 0.510 0.250 Sm
0.076 0.401 0.250 Ag
0.924 0.599 0.750 Ag
0.424 0.901 0.250 Ag
0.576 0.099 0.750 Ag
0.672 0.804 0.544 Nd
0.328 0.196 0.044 Nd
0.828 0.304 0.544 Nd
0.672 0.804 0.956 Nd
0.828 0.304 0.956 Nd
0.172 0.696 0.456 Nd
0.172 0.696 0.044 Nd
0.328 0.196 0.456 Nd
```

## Properties
Fermi-level density of states (states/eV per cell): 16.7
Theoretical density (g/cm3): 7.291
Space group: Pnma (62)

=====

b:
Nd2SmAg after structural relaxation. Source: the Alexandria database, functional PBE.

Geometry as POSCAR:
```
Nd2SmAg
1.0
5.047 -0.001 0.000
-2.525 6.028 0.000
0.000 0.000 8.173
Ag Nd Sm
2 4 2
Direct
0.206 0.410 0.250 Ag
0.794 0.590 0.750 Ag
0.640 0.279 0.034 Nd
0.360 0.721 0.966 Nd
0.360 0.721 0.534 Nd
0.640 0.279 0.466 Nd
0.053 0.105 0.750 Sm
0.947 0.895 0.250 Sm
```

## Properties
Fermi-level density of states (states/eV per cell): 9.7
Theoretical density (g/cm3): 7.303
Space group: Cmcm (63)

=====

Bottom line: a, by a margin of 28 meV per atom.

=====

a:
NdSm2Ag after structural relaxation. Source: the Alexandria database, functional PBE.

Geometry as POSCAR:
```
NdSm2Ag
1.0
3.697 0.000 0.000
0.000 3.697 0.000
0.000 0.000 8.837
Sm Nd Ag
2 1 1
Direct
0.000 0.000 0.211 Sm
0.000 0.000 0.789 Sm
0.500 0.500 0.500 Nd
0.500 0.500 0.000 Ag
```

## Properties
Fermi-level density of states (states/eV per cell): 6.1
Theoretical density (g/cm3): 7.598
Space group: P4/mmm (123)

=====

b:
NdSm2Ag after structural relaxation. Source: the Alexandria database, functional PBE.

Geometry as POSCAR:
```
NdSm2Ag
1.0
-1.256 1.321 3.156
-1.376 -2.263 2.504
8.854 -1.429 6.226
Nd Sm Ag
1 2 1
Direct
0.500 0.500 0.500 Nd
0.741 0.741 0.778 Sm
0.259 0.259 0.222 Sm
0.000 0.000 0.000 Ag
```

## Properties
Fermi-level density of states (states/eV per cell): 4.7
Theoretical density (g/cm3): 7.451
Space group: R-3m (166)

=====

Bottom line: a, by a margin of 105 meV per atom.

=====

a:
NdSm2Ag6 after structural relaxation. Source: the Alexandria database, functional PBE.

Geometry as POSCAR:
```
NdSm2Ag6
1.0
-1.174 3.056 1.341
-2.048 2.566 -7.642
-5.535 -4.152 4.616
Ag Sm Nd
6 2 1
Direct
0.500 0.000 0.334 Ag
0.500 0.000 0.666 Ag
0.500 0.666 0.666 Ag
0.500 0.666 0.000 Ag
0.500 0.334 0.000 Ag
0.500 0.334 0.334 Ag
0.000 0.667 0.333 Sm
0.000 0.333 0.667 Sm
0.000 0.000 0.000 Nd
```

## Properties
Fermi-level density of states (states/eV per cell): 6.8
Theoretical density (g/cm3): 8.558
Space group: P6/mmm (191)

=====

b:
NdSm2Ag6 after structural relaxation. Source: the Alexandria database, functional PBE.

Geometry as POSCAR:
```
NdSm2Ag6
1.0
3.609 0.000 0.000
1.804 8.361 1.222
1.804 3.571 7.658
Ag Nd Sm
6 1 2
Direct
0.825 0.496 0.855 Ag
0.000 0.180 0.820 Ag
0.175 0.145 0.504 Ag
0.825 0.855 0.496 Ag
0.000 0.820 0.180 Ag
0.175 0.504 0.145 Ag
0.500 0.500 0.500 Nd
0.359 0.141 0.141 Sm
0.641 0.859 0.859 Sm
```

## Properties
Fermi-level density of states (states/eV per cell): 7.3
Theoretical density (g/cm3): 8.422
Space group: Immm (71)

=====

Bottom line: a, by a margin of 65 meV per atom.

=====

a:
NdSm4Ag after structural relaxation. Source: the Alexandria database, functional PBE.

Geometry as POSCAR:
```
NdSm4Ag
1.0
3.655 0.000 0.000
0.000 3.655 0.000
0.000 0.000 14.146
Sm Ag Nd
4 1 1
Direct
0.000 0.000 0.364 Sm
0.500 0.500 0.182 Sm
0.500 0.500 0.818 Sm
0.000 0.000 0.636 Sm
0.500 0.500 0.500 Ag
0.000 0.000 0.000 Nd
```

## Properties
Fermi-level density of states (states/eV per cell): 8.6
Theoretical density (g/cm3): 7.500
Space group: P4/mmm (123)

=====

b:
NdSm4Ag after structural relaxation. Source: the Alexandria database, functional PBE.

Geometry as POSCAR:
```
NdSm4Ag
1.0
5.577 0.000 0.000
0.000 6.560 0.000
-2.789 0.000 10.564
Ag Sm Nd
2 8 2
Direct
0.395 0.468 0.790 Ag
0.605 0.968 0.210 Ag
0.466 0.877 0.932 Sm
0.534 0.377 0.068 Sm
0.935 0.210 0.870 Sm
0.323 0.071 0.645 Sm
0.065 0.710 0.130 Sm
0.254 0.596 0.507 Sm
0.746 0.096 0.493 Sm
0.677 0.571 0.355 Sm
0.867 0.711 0.734 Nd
0.133 0.211 0.266 Nd
```

## Properties
Fermi-level density of states (states/eV per cell): 17.2
Theoretical density (g/cm3): 7.335
Space group: Cmc2_1 (36)

=====

Bottom line: a, by a margin of 118 meV per atom.